Density functional theory data (PBEsol) for an optimized crystal structure of Sr3LaNi2O8.

a = 5.3534 Å, b = 6.6620 Å, c = 6.6620 Å
α = 47.41°, β = 90.00°, γ = 90.00°
Last column: nearest neighbours and their distance in Å.
Atoms (fractional coordinates):
1 Sr 0.0000 0.0000 0.0000  9 O 2.45-2.69
2 Sr 0.0000 0.2812 0.2812  9 O 2.47-2.69
3 Sr 0.5000 0.7849 0.7849  9 O 2.46-2.69
4 La 0.5000 0.5031 0.5031  9 O 2.41-2.69
5 Ni 0.0000 0.6465 0.6465  6 O 1.87-1.99
6 Ni 0.5000 0.1473 0.1473  6 O 1.90-1.96
7 O 0.0000 0.4836 0.4836  1 Ni 1.99
8 O 0.0000 0.7995 0.7995  1 Ni 1.87
9 O 0.2554 0.3926 0.8823  2 Ni 1.90
10 O 0.2554 0.8823 0.3926  2 Ni 1.90
11 O 0.5000 0.3054 0.3054  1 Ni 1.93
12 O 0.5000 0.9865 0.9865  1 Ni 1.96
13 O 0.7446 0.3926 0.8823  2 Ni 1.90
14 O 0.7446 0.8823 0.3926  2 Ni 1.90

Values from the calculation:
DFT total energy = -6.88 eV per atom
Volume = 12.49 A^3/atom